(1)
SrBe3O at its PBEsol-relaxed geometry. Source: Alexandria via LeMat-Bulk, functional SCAN.

abc: 5.881 5.881 5.881
angles: 90.00 90.00 90.00
Fractional positions:
Sr1 0.000 0.000 0.000
O1 0.500 0.500 0.500
Be1 0.000 0.500 0.000
Be2 0.000 0.000 0.500
Be3 0.500 0.000 0.000

Values from the calculation:
SG   Pm-3m, No. 221



(2)
Ta2BeO6 at its PBEsol-relaxed geometry. Source: Alexandria via LeMat-Bulk, functional SCAN.

abc: 4.924 7.369 11.322
angles: 90.00 90.00 90.00
Fractional positions:
Ta1 0.890 0.503 0.134
Ta2 0.890 0.997 0.134
Ta3 0.390 0.003 0.366
Ta4 0.390 0.497 0.366
Ta5 0.610 0.503 0.634
Ta6 0.610 0.997 0.634
Ta7 0.110 0.003 0.866
Ta8 0.110 0.497 0.866
Be1 0.601 0.750 0.938
Be2 0.101 0.250 0.562
Be3 0.899 0.750 0.438
Be4 0.399 0.250 0.062
O1 0.225 0.425 0.036
O2 0.225 0.075 0.036
O3 0.705 0.250 0.102
O4 0.004 0.750 0.143
O5 0.580 0.934 0.227
O6 0.580 0.566 0.227
O7 0.080 0.066 0.273
O8 0.080 0.434 0.273
O9 0.504 0.250 0.357
O10 0.205 0.750 0.398
O11 0.725 0.925 0.464
O12 0.725 0.575 0.464
O13 0.275 0.425 0.536
O14 0.275 0.075 0.536
O15 0.795 0.250 0.602
O16 0.496 0.750 0.643
O17 0.920 0.934 0.727
O18 0.920 0.566 0.727
O19 0.420 0.434 0.773
O20 0.420 0.066 0.773
O21 0.996 0.250 0.857
O22 0.295 0.750 0.898
O23 0.775 0.925 0.964
O24 0.775 0.575 0.964

Values from the calculation:
SG   Pnma, No. 62



(3)
BeTc3O at its PBEsol-relaxed geometry. Source: Alexandria via LeMat-Bulk, functional SCAN.

abc: 4.037 4.037 4.037
angles: 90.00 90.00 90.00
Fractional positions:
Be1 0.000 0.000 0.000
Tc1 0.000 0.500 0.000
Tc2 0.000 0.000 0.500
Tc3 0.500 0.000 0.000
O1 0.500 0.500 0.500

Values from the calculation:
SG   Pm-3m, No. 221



(4)
BeTcTe2O at its PBEsol-relaxed geometry. Source: Alexandria via LeMat-Bulk, functional SCAN.

abc: 4.227 4.958 4.958
angles: 90.00 90.00 90.00
Fractional positions:
Be1 0.500 0.000 0.000
Te1 0.000 0.000 0.500
Te2 0.000 0.500 0.000
Tc1 0.000 0.000 0.000
O1 0.500 0.500 0.500

Values from the calculation:
SG   P4/mmm, No. 123



(5)
ZrBeTcO2 at its PBEsol-relaxed geometry. Source: Alexandria via LeMat-Bulk, functional SCAN.

abc: 3.917 3.917 5.315
angles: 90.00 90.00 90.00
Fractional positions:
O1 0.000 0.500 0.000
O2 0.500 0.000 0.000
Be1 0.000 0.000 0.500
Tc1 0.500 0.500 0.500
Zr1 0.000 0.000 0.000

Values from the calculation:
SG   P4/mmm, No. 123



(6)
Zr2BeTcO at its PBEsol-relaxed geometry. Source: Alexandria via LeMat-Bulk, functional SCAN.

abc: 3.654 5.096 5.096
angles: 90.00 90.00 90.00
Fractional positions:
O1 0.500 0.000 0.000
Be1 0.500 0.500 0.500
Tc1 0.000 0.000 0.000
Zr1 0.000 0.000 0.500
Zr2 0.000 0.500 0.000

Values from the calculation:
SG   P4/mmm, No. 123



(7)
Be2TeO at its PBEsol-relaxed geometry. Source: Alexandria via LeMat-Bulk, functional SCAN.

abc: 4.169 4.169 4.169
angles: 60.00 60.00 60.00
Fractional positions:
Be1 0.250 0.250 0.250
Be2 0.750 0.750 0.750
Te1 0.500 0.500 0.500
O1 0.000 0.000 0.000

Values from the calculation:
SG   Fm-3m, No. 225



(8)
TiBeO2 at its PBEsol-relaxed geometry. Source: Alexandria via LeMat-Bulk, functional SCAN.

abc: 4.423 4.974 4.423
angles: 63.60 90.00 116.40
Fractional positions:
Be1 0.250 0.500 0.250
Be2 0.500 0.000 0.500
O1 0.549 0.750 0.375
O2 0.201 0.750 0.875
O3 0.875 0.250 0.549
O4 0.375 0.250 0.201
Ti1 0.750 0.500 0.750
Ti2 0.000 0.000 0.000

Values from the calculation:
SG   I-42d, No. 122



(9)
YTiBe2O at its PBEsol-relaxed geometry. Source: Alexandria via LeMat-Bulk, functional SCAN.

abc: 3.742 4.642 4.642
angles: 90.00 90.00 90.00
Fractional positions:
Y1 0.500 0.500 0.500
Be1 0.000 0.000 0.500
Be2 0.000 0.500 0.000
O1 0.500 0.000 0.000
Ti1 0.000 0.000 0.000

Values from the calculation:
SG   P4/mmm, No. 123



(10)
Be3TlO at its PBEsol-relaxed geometry. Source: Alexandria via LeMat-Bulk, functional SCAN.

abc: 4.467 4.467 4.467
angles: 90.00 90.00 90.00
Fractional positions:
Be1 0.000 0.500 0.000
Be2 0.000 0.000 0.500
Be3 0.500 0.000 0.000
Tl1 0.000 0.000 0.000
O1 0.500 0.500 0.500

Values from the calculation:
SG   Pm-3m, No. 221



(11)
YBeO3 at its PBEsol-relaxed geometry. Source: Alexandria via LeMat-Bulk, functional SCAN.

abc: 3.533 3.533 3.533
angles: 90.00 90.00 90.00
Fractional positions:
Y1 0.000 0.000 0.000
Be1 0.500 0.500 0.500
O1 0.000 0.500 0.500
O2 0.500 0.000 0.500
O3 0.500 0.500 0.000

Values from the calculation:
SG   Pm-3m, No. 221



(12)
Y2BeO4 at its PBEsol-relaxed geometry. Source: Alexandria via LeMat-Bulk, functional SCAN.

abc: 3.514 9.826 10.353
angles: 90.00 90.00 90.00
Fractional positions:
Y1 0.250 0.410 0.615
Y2 0.750 0.590 0.385
Y3 0.750 0.910 0.885
Y4 0.250 0.090 0.115
Y5 0.250 0.823 0.590
Y6 0.750 0.177 0.410
Y7 0.750 0.323 0.910
Y8 0.250 0.677 0.090
Be1 0.250 0.125 0.696
Be2 0.750 0.875 0.304
Be3 0.750 0.625 0.804
Be4 0.250 0.375 0.196
O1 0.250 0.150 0.547
O2 0.750 0.850 0.453
O3 0.750 0.650 0.953
O4 0.250 0.350 0.047
O5 0.250 0.244 0.280
O6 0.750 0.756 0.720
O7 0.750 0.744 0.220
O8 0.250 0.256 0.780
O9 0.750 0.019 0.248
O10 0.250 0.981 0.752
O11 0.250 0.519 0.252
O12 0.750 0.481 0.748
O13 0.750 0.114 0.984
O14 0.250 0.886 0.016
O15 0.250 0.614 0.516
O16 0.750 0.386 0.484

Values from the calculation:
SG   Pnma, No. 62



(13)
BeZnO3 at its PBEsol-relaxed geometry. Source: Alexandria via LeMat-Bulk, functional SCAN.

abc: 3.457 3.457 3.457
angles: 90.00 90.00 90.00
Fractional positions:
Be1 0.000 0.000 0.000
Zn1 0.500 0.500 0.500
O1 0.000 0.500 0.000
O2 0.000 0.000 0.500
O3 0.500 0.000 0.000

Values from the calculation:
SG   Pm-3m, No. 221



(14)
Zr3BeO at its PBEsol-relaxed geometry. Source: Alexandria via LeMat-Bulk, functional SCAN.

abc: 4.340 4.340 4.340
angles: 90.00 90.00 90.00
Fractional positions:
Be1 0.500 0.500 0.500
O1 0.000 0.000 0.000
Zr1 0.000 0.500 0.000
Zr2 0.000 0.000 0.500
Zr3 0.500 0.000 0.000

Values from the calculation:
SG   Pm-3m, No. 221



(15)
ZrBe3O at its PBEsol-relaxed geometry. Source: Alexandria via LeMat-Bulk, functional SCAN.

abc: 4.799 4.799 4.799
angles: 90.00 90.00 90.00
Fractional positions:
Be1 0.000 0.500 0.000
Be2 0.000 0.000 0.500
Be3 0.500 0.000 0.000
O1 0.500 0.500 0.500
Zr1 0.000 0.000 0.000

Values from the calculation:
SG   Pm-3m, No. 221



(16)
Be2Os at its PBEsol-relaxed geometry. Source: Alexandria via LeMat-Bulk, functional SCAN.

abc: 2.928 5.246 7.850
angles: 90.00 90.00 90.00
Fractional positions:
Be1 0.750 0.367 0.724
Be2 0.250 0.133 0.224
Be3 0.750 0.867 0.776
Be4 0.250 0.633 0.276
Be5 0.750 0.388 0.080
Be6 0.250 0.112 0.580
Be7 0.750 0.888 0.420
Be8 0.250 0.612 0.920
Os1 0.750 0.850 0.099
Os2 0.250 0.650 0.599
Os3 0.750 0.350 0.401
Os4 0.250 0.150 0.901

Values from the calculation:
SG   Pnma, No. 62
ΔH_f (0 K)   -0.311 eV/atom
Energy above the most stable polymorph in this dataset   43 meV/atom



(17)
BeOs3 at its PBEsol-relaxed geometry. Source: Alexandria via LeMat-Bulk, functional SCAN.

abc: 2.653 2.653 8.395
angles: 90.00 90.00 117.44
Fractional positions:
Be1 0.000 0.000 0.000
Os1 0.500 0.500 0.773
Os2 0.000 0.000 0.500
Os3 0.500 0.500 0.227

Values from the calculation:
SG   Cmmm, No. 65
ΔH_f (0 K)   0.426 eV/atom
Energy above the most stable polymorph in this dataset   261 meV/atom



(18)
Be2Os at its PBEsol-relaxed geometry. Source: Alexandria via LeMat-Bulk, functional SCAN.

abc: 2.642 3.593 3.593
angles: 120.00 90.00 90.00
Fractional positions:
Be1 0.000 0.333 0.667
Be2 0.000 0.667 0.333
Os1 0.500 0.000 0.000

Values from the calculation:
SG   P6/mmm, No. 191
ΔH_f (0 K)   -0.267 eV/atom
Energy above the most stable polymorph in this dataset   87 meV/atom



(19)
Be2Os at its PBEsol-relaxed geometry. Source: Alexandria via LeMat-Bulk, functional SCAN.

abc: 4.322 4.322 4.322
angles: 60.00 60.00 60.00
Fractional positions:
Be1 0.125 0.125 0.125
Be2 0.125 0.125 0.625
Be3 0.125 0.625 0.125
Be4 0.625 0.125 0.125
Os1 0.500 0.500 0.500
Os2 0.750 0.750 0.750

Values from the calculation:
SG   Fd-3m, No. 227
ΔH_f (0 K)   -0.354 eV/atom
Energy above the most stable polymorph in this dataset   0 meV/atom



(20)
Be2Os at its PBEsol-relaxed geometry. Source: Alexandria via LeMat-Bulk, functional SCAN.

abc: 3.054 3.221 6.298
angles: 75.18 90.00 90.00
Fractional positions:
Be1 0.250 0.745 0.511
Be2 0.250 0.437 0.126
Be3 0.750 0.255 0.489
Be4 0.750 0.563 0.874
Os1 0.250 0.098 0.804
Os2 0.750 0.902 0.196

Values from the calculation:
SG   Cmcm, No. 63
ΔH_f (0 K)   -0.327 eV/atom
Energy above the most stable polymorph in this dataset   27 meV/atom



(21)
Be2Os at its PBEsol-relaxed geometry. Source: Alexandria via LeMat-Bulk, functional SCAN.

abc: 4.332 4.332 14.058
angles: 90.00 90.00 120.00
Fractional positions:
Be1 0.333 0.667 0.875
Be2 0.667 0.333 0.125
Be3 0.667 0.333 0.375
Be4 0.333 0.667 0.625
Be5 0.000 0.500 0.000
Be6 0.500 0.000 0.000
Be7 0.500 0.500 0.000
Be8 0.000 0.500 0.500
Be9 0.500 0.000 0.500
Be10 0.500 0.500 0.500
Be11 0.672 0.836 0.750
Be12 0.164 0.328 0.750
Be13 0.164 0.836 0.750
Be14 0.328 0.164 0.250
Be15 0.836 0.672 0.250
Be16 0.836 0.164 0.250
Os1 0.000 0.000 0.905
Os2 0.000 0.000 0.095
Os3 0.000 0.000 0.405
Os4 0.000 0.000 0.595
Os5 0.333 0.667 0.157
Os6 0.667 0.333 0.843
Os7 0.667 0.333 0.657
Os8 0.333 0.667 0.343

Values from the calculation:
SG   P6_3/mmc, No. 194
ΔH_f (0 K)   -0.353 eV/atom
Energy above the most stable polymorph in this dataset   0 meV/atom



(22)
Be2Os at its PBEsol-relaxed geometry. Source: Alexandria via LeMat-Bulk, functional SCAN.

abc: 4.467 4.467 4.467
angles: 93.50 118.00 118.00
Fractional positions:
Be1 0.500 0.317 0.183
Be2 0.500 0.683 0.817
Be3 0.134 0.817 0.317
Be4 0.866 0.183 0.683
Os1 0.000 0.750 0.750
Os2 0.000 0.250 0.250

Values from the calculation:
SG   I4/mcm, No. 140
ΔH_f (0 K)   0.031 eV/atom
Energy above the most stable polymorph in this dataset   385 meV/atom



(23)
Be5Os at its PBEsol-relaxed geometry. Source: Alexandria via LeMat-Bulk, functional SCAN.

abc: 3.602 4.371 4.371
angles: 64.67 65.67 65.67
Fractional positions:
Be1 0.836 0.910 0.418
Be2 0.500 0.500 0.500
Be3 0.164 0.090 0.582
Be4 0.164 0.582 0.090
Be5 0.836 0.418 0.910
Os1 0.500 0.000 0.000

Values from the calculation:
SG   Immm, No. 71
ΔH_f (0 K)   -0.289 eV/atom



(24)
BeOs3 at its PBEsol-relaxed geometry. Source: Alexandria via LeMat-Bulk, functional SCAN.

abc: 2.816 4.324 4.324
angles: 90.00 90.00 90.00
Fractional positions:
Be1 0.000 0.000 0.000
Os1 0.500 0.500 0.000
Os2 0.000 0.500 0.500
Os3 0.500 0.000 0.500

Values from the calculation:
SG   P4/mmm, No. 123
ΔH_f (0 K)   0.357 eV/atom
Energy above the most stable polymorph in this dataset   191 meV/atom



Raw total energy list, top to bottom, in eV/atom: -5.8434 -22.3707 -21.7066 -23.3023 -17.1144 -21.1447 -12.5695 -10.6899 -12.1112 -17.1199 -12.9283 -15.7858 -8.2290 -21.5450 -7.6846 -27.1733 -54.5720 -27.1294 -27.2161 -27.1896 -27.2157 -26.8313 -15.8972 -54.6418